! AgPW | the Alexandria database | SCAN | PBEsol geometry; values from VASP
&SYSTEM
  ibrav = 0, nat = 3, ntyp = 3
/
ATOMIC_SPECIES
P 30.97 P.upf
Ag 107.87 Ag.upf
W 183.84 W.upf
CELL_PARAMETERS angstrom
4.066 0.000 0.000
2.033 3.521 0.000
2.033 1.174 3.320
ATOMIC_POSITIONS crystal
P 0.250 0.250 0.250
Ag 0.500 0.500 0.500
W 0.000 0.000 0.000
! * VASP energy: -109.8 eV/cell
! * space group: F-43m (216)
! * formation energy: 553 meV/atom
! * crystal system: cubic


! AgP4W | the Alexandria database | SCAN | PBEsol geometry; values from VASP
&SYSTEM
  ibrav = 0, nat = 6, ntyp = 3
/
ATOMIC_SPECIES
P 30.97 P.upf
W 183.84 W.upf
Ag 107.87 Ag.upf
CELL_PARAMETERS angstrom
-1.987 -3.101 3.302
1.968 -0.391 4.521
-2.432 1.787 3.919
ATOMIC_POSITIONS crystal
P 0.377 0.870 0.377
P 0.377 0.377 0.377
P 0.870 0.377 0.377
P 0.377 0.377 0.870
W 0.750 0.750 0.750
Ag 0.000 0.000 0.000
! * VASP energy: -136.2 eV/cell
! * space group: F-43m (216)
! * formation energy: 1071 meV/atom
! * crystal system: cubic


! YAg2P | the Alexandria database | SCAN | PBEsol geometry; values from VASP
&SYSTEM
  ibrav = 0, nat = 4, ntyp = 3
/
ATOMIC_SPECIES
Ag 107.87 Ag.upf
Y 88.91 Y.upf
P 30.97 P.upf
CELL_PARAMETERS angstrom
4.723 0.000 0.000
2.362 4.091 0.000
2.362 1.364 3.857
ATOMIC_POSITIONS crystal
Ag 0.750 0.750 0.750
Ag 0.000 0.000 0.000
Y 0.250 0.250 0.250
P 0.500 0.500 0.500
! * VASP energy: -102.5 eV/cell
! * space group: F-43m (216)
! * formation energy: -372 meV/atom
! * crystal system: cubic


! YAgP | the Alexandria database | SCAN | PBEsol geometry; values from VASP
&SYSTEM
  ibrav = 0, nat = 3, ntyp = 3
/
ATOMIC_SPECIES
Ag 107.87 Ag.upf
Y 88.91 Y.upf
P 30.97 P.upf
CELL_PARAMETERS angstrom
4.443 0.000 0.000
2.222 3.848 0.000
2.222 1.283 3.628
ATOMIC_POSITIONS crystal
Ag 0.500 0.500 0.500
Y 0.000 0.000 0.000
P 0.250 0.250 0.250
! * VASP energy: -71.7 eV/cell
! * space group: F-43m (216)
! * formation energy: -699 meV/atom
! * crystal system: cubic


! YAg2P | the Alexandria database | SCAN | PBEsol geometry; values from VASP
&SYSTEM
  ibrav = 0, nat = 4, ntyp = 3
/
ATOMIC_SPECIES
Ag 107.87 Ag.upf
Y 88.91 Y.upf
P 30.97 P.upf
CELL_PARAMETERS angstrom
-1.052 2.881 0.679
-3.068 0.642 -0.210
-2.472 -1.260 8.778
ATOMIC_POSITIONS crystal
Ag 0.239 0.239 0.283
Ag 0.761 0.761 0.717
Y 0.000 0.000 0.000
P 0.500 0.500 0.500
! * VASP energy: -99.8 eV/cell
! * space group: R-3m (166)
! * formation energy: 299 meV/atom
! * crystal system: trigonal


! YAg2P | the Alexandria database | SCAN | PBEsol geometry; values from VASP
&SYSTEM
  ibrav = 0, nat = 4, ntyp = 3
/
ATOMIC_SPECIES
Ag 107.87 Ag.upf
P 30.97 P.upf
Y 88.91 Y.upf
CELL_PARAMETERS angstrom
3.757 0.000 0.000
0.000 3.834 0.000
0.000 -1.917 5.362
ATOMIC_POSITIONS crystal
Ag 0.500 0.326 0.652
Ag 0.000 0.910 0.820
P 0.000 0.157 0.314
Y 0.500 0.601 0.202
! * VASP energy: -103.4 eV/cell
! * space group: Amm2 (38)
! * formation energy: -604 meV/atom
! * crystal system: orthorhombic


! YAg2P | the Alexandria database | SCAN | PBEsol geometry; values from VASP
&SYSTEM
  ibrav = 0, nat = 4, ntyp = 3
/
ATOMIC_SPECIES
Ag 107.87 Ag.upf
Y 88.91 Y.upf
P 30.97 P.upf
CELL_PARAMETERS angstrom
3.875 -0.006 0.000
-0.014 3.875 0.000
-1.930 -1.934 5.374
ATOMIC_POSITIONS crystal
Ag 0.500 0.000 0.500
Ag 0.000 0.500 0.500
Y 0.500 0.500 0.000
P 0.000 0.000 0.000
! * VASP energy: -102.6 eV/cell
! * space group: Fmmm (69)
! * formation energy: -397 meV/atom
! * crystal system: orthorhombic


! Y2AgP2 | the Alexandria database | SCAN | PBEsol geometry; values from VASP
&SYSTEM
  ibrav = 0, nat = 10, ntyp = 3
/
ATOMIC_SPECIES
Ag 107.87 Ag.upf
P 30.97 P.upf
Y 88.91 Y.upf
CELL_PARAMETERS angstrom
-2.866 -0.903 2.163
4.538 -0.736 5.706
-0.960 7.068 1.676
ATOMIC_POSITIONS crystal
Ag 0.000 0.000 0.000
Ag 0.000 0.500 0.500
P 0.000 0.154 0.346
P 0.000 0.346 0.846
P 0.000 0.654 0.154
P 0.000 0.846 0.654
Y 0.500 0.656 0.844
Y 0.500 0.344 0.156
Y 0.500 0.156 0.656
Y 0.500 0.844 0.344
! * VASP energy: -227.1 eV/cell
! * space group: P4/mbm (127)
! * formation energy: -1136 meV/atom
! * crystal system: tetragonal


! YAgP | the Alexandria database | SCAN | PBEsol geometry; values from VASP
&SYSTEM
  ibrav = 0, nat = 12, ntyp = 3
/
ATOMIC_SPECIES
P 30.97 P.upf
Ag 107.87 Ag.upf
Y 88.91 Y.upf
CELL_PARAMETERS angstrom
-1.525 1.936 -3.076
-5.145 -4.462 -0.259
-4.406 4.779 5.193
ATOMIC_POSITIONS crystal
P 0.250 0.755 0.128
P 0.750 0.245 0.872
P 0.750 0.745 0.628
P 0.250 0.255 0.372
Ag 0.750 0.359 0.557
Ag 0.250 0.141 0.057
Ag 0.750 0.859 0.943
Ag 0.250 0.641 0.443
Y 0.750 0.463 0.177
Y 0.250 0.037 0.677
Y 0.750 0.963 0.323
Y 0.250 0.537 0.823
! * VASP energy: -288.8 eV/cell
! * space group: Pnma (62)
! * formation energy: -863 meV/atom
! * crystal system: orthorhombic


! YAg2P | the Alexandria database | SCAN | PBEsol geometry; values from VASP
&SYSTEM
  ibrav = 0, nat = 4, ntyp = 3
/
ATOMIC_SPECIES
Y 88.91 Y.upf
Ag 107.87 Ag.upf
P 30.97 P.upf
CELL_PARAMETERS angstrom
3.781 0.000 0.000
0.000 3.781 0.000
0.000 0.000 5.488
ATOMIC_POSITIONS crystal
Y 0.500 0.500 0.500
Ag 0.000 0.000 0.241
Ag 0.000 0.000 0.759
P 0.500 0.500 0.000
! * VASP energy: -102.1 eV/cell
! * space group: P4/mmm (123)
! * formation energy: -286 meV/atom
! * crystal system: tetragonal


! YAgP | the Alexandria database | SCAN | PBEsol geometry; values from VASP
&SYSTEM
  ibrav = 0, nat = 3, ntyp = 3
/
ATOMIC_SPECIES
P 30.97 P.upf
Y 88.91 Y.upf
Ag 107.87 Ag.upf
CELL_PARAMETERS angstrom
-2.377 2.331 -1.700
0.590 -1.763 -3.243
-2.376 -2.982 3.343
ATOMIC_POSITIONS crystal
P 0.311 0.311 0.623
Y 0.683 0.683 0.365
Ag 0.006 0.006 0.012
! * VASP energy: -71.2 eV/cell
! * space group: I4mm (107)
! * formation energy: -540 meV/atom
! * crystal system: tetragonal


! ZrAgP | the Alexandria database | SCAN | PBEsol geometry; values from VASP
&SYSTEM
  ibrav = 0, nat = 3, ntyp = 3
/
ATOMIC_SPECIES
Ag 107.87 Ag.upf
P 30.97 P.upf
Zr 91.22 Zr.upf
CELL_PARAMETERS angstrom
4.347 0.000 0.000
2.173 3.764 0.000
2.173 1.255 3.549
ATOMIC_POSITIONS crystal
Ag 0.250 0.250 0.250
P 0.000 0.000 0.000
Zr 0.500 0.500 0.500
! * VASP energy: -72.0 eV/cell
! * space group: F-43m (216)
! * formation energy: 142 meV/atom
! * crystal system: cubic